# La4Bi2PtN2

A relaxed structure of La4Bi2PtN2 (PBE, the Alexandria database).

Calculated values
The final energy is -60.103 eV per cell. The calculation puts the formation energy (no corrections) at -959 kJ/mol of formula units. The density of states at the Fermi level is 1.4 states/eV/cell.

Lattice parameters (Å, degrees): 8.1195 8.1195 8.3458 111.17 111.17 30.96
Last column: nearest neighbours and their distance in Å.
Sites, in units of the cell vectors:
La: 0.0299 0.0299 0.2854  1 N 2.28
La: 0.2852 0.2852 0.3599  3 N 2.33-2.47
La: 0.7148 0.7148 0.6401  3 N 2.33-2.47
La: 0.9701 0.9701 0.7146  1 N 2.28
Bi: 0.3932 0.3932 0.9636  1 Bi 3.17, 4 La 3.49-3.51
Bi: 0.6068 0.6068 0.0364  1 Bi 3.17, 4 La 3.49-3.51
Pt: 0.5000 0.5000 0.5000  6 La 2.96-3.12
N: 0.1760 0.1760 0.4887  4 La 2.28-2.47
N: 0.8240 0.8240 0.5113  4 La 2.28-2.47